# K2GeBi meta-GGA SCAN PBEsol geometry
# Energy of formation from the pure elements ... 0.101 eV/atom
# Symmetry ... Fm-3m (225)
# Size of the total moment ... 0.4 μB/f.u.
data_K2GeBi
_chemical_formula_sum 'K2 Ge1 Bi1'
_space_group_name_H-M_alt 'P 1'
_space_group_IT_number 1
_space_group_name_Hall 'P 1'
_cell_length_a 5.649
_cell_length_b 5.649
_cell_length_c 5.649
_cell_angle_alpha 60.00
_cell_angle_beta 60.00
_cell_angle_gamma 60.00
loop_
_atom_site_label
_atom_site_type_symbol
_atom_site_fract_x
_atom_site_fract_y
_atom_site_fract_z
_atom_site_occupancy
K1 K 0.250 0.250 0.250 1
K2 K 0.750 0.750 0.750 1
Ge1 Ge 0.000 0.000 0.000 1
Bi1 Bi 0.500 0.500 0.500 1

# Li3GeBi meta-GGA SCAN PBEsol geometry
# Energy of formation from the pure elements ... 0.009 eV/atom
# Symmetry ... Pm-3m (221)
# Size of the total moment ... 0.0 μB/f.u.
data_Li3GeBi
_chemical_formula_sum 'Li3 Ge1 Bi1'
_space_group_name_H-M_alt 'P 1'
_space_group_IT_number 1
_space_group_name_Hall 'P 1'
_cell_length_a 4.718
_cell_length_b 4.718
_cell_length_c 4.718
_cell_angle_alpha 90.00
_cell_angle_beta 90.00
_cell_angle_gamma 90.00
loop_
_atom_site_label
_atom_site_type_symbol
_atom_site_fract_x
_atom_site_fract_y
_atom_site_fract_z
_atom_site_occupancy
Li1 Li 0.000 0.000 0.500 1
Li2 Li 0.000 0.500 0.000 1
Li3 Li 0.500 0.000 0.000 1
Ge1 Ge 0.000 0.000 0.000 1
Bi1 Bi 0.500 0.500 0.500 1

# Li2NiGeBi meta-GGA SCAN PBEsol geometry
# Energy of formation from the pure elements ... -0.060 eV/atom
# Symmetry ... P4/mmm (123)
# Size of the total moment ... 0.0 μB/f.u.
data_Li2NiGeBi
_chemical_formula_sum 'Li2 Ni1 Ge1 Bi1'
_space_group_name_H-M_alt 'P 1'
_space_group_IT_number 1
_space_group_name_Hall 'P 1'
_cell_length_a 4.601
_cell_length_b 4.601
_cell_length_c 4.383
_cell_angle_alpha 90.00
_cell_angle_beta 90.00
_cell_angle_gamma 90.00
loop_
_atom_site_label
_atom_site_type_symbol
_atom_site_fract_x
_atom_site_fract_y
_atom_site_fract_z
_atom_site_occupancy
Li1 Li 0.000 0.500 0.000 1
Li2 Li 0.500 0.000 0.000 1
Ni1 Ni 0.000 0.000 0.000 1
Ge1 Ge 0.000 0.000 0.500 1
Bi1 Bi 0.500 0.500 0.500 1

# Li2YGeBi meta-GGA SCAN PBEsol geometry
# Energy of formation from the pure elements ... -0.089 eV/atom
# Symmetry ... P4/mmm (123)
# Size of the total moment ... 0.0 μB/f.u.
data_Li2YGeBi
_chemical_formula_sum 'Li2 Y1 Ge1 Bi1'
_space_group_name_H-M_alt 'P 1'
_space_group_IT_number 1
_space_group_name_Hall 'P 1'
_cell_length_a 4.612
_cell_length_b 4.612
_cell_length_c 5.768
_cell_angle_alpha 90.00
_cell_angle_beta 90.00
_cell_angle_gamma 90.00
loop_
_atom_site_label
_atom_site_type_symbol
_atom_site_fract_x
_atom_site_fract_y
_atom_site_fract_z
_atom_site_occupancy
Li1 Li 0.000 0.500 0.000 1
Li2 Li 0.500 0.000 0.000 1
Y1 Y 0.000 0.000 0.500 1
Ge1 Ge 0.500 0.500 0.000 1
Bi1 Bi 0.500 0.500 0.500 1

# MgGeBi3 meta-GGA SCAN PBEsol geometry
# Energy of formation from the pure elements ... 0.753 eV/atom
# Symmetry ... Pm-3m (221)
# Size of the total moment ... 0.0 μB/f.u.
data_MgGeBi3
_chemical_formula_sum 'Mg1 Ge1 Bi3'
_space_group_name_H-M_alt 'P 1'
_space_group_IT_number 1
_space_group_name_Hall 'P 1'
_cell_length_a 5.401
_cell_length_b 5.401
_cell_length_c 5.401
_cell_angle_alpha 90.00
_cell_angle_beta 90.00
_cell_angle_gamma 90.00
loop_
_atom_site_label
_atom_site_type_symbol
_atom_site_fract_x
_atom_site_fract_y
_atom_site_fract_z
_atom_site_occupancy
Mg1 Mg 0.000 0.000 0.000 1
Ge1 Ge 0.500 0.500 0.500 1
Bi1 Bi 0.000 0.000 0.500 1
Bi2 Bi 0.000 0.500 0.000 1
Bi3 Bi 0.500 0.000 0.000 1

# MgGe2Bi2 meta-GGA SCAN PBEsol geometry
# Energy of formation from the pure elements ... 0.164 eV/atom
# Symmetry ... I4/mmm (139)
# Size of the total moment ... 0.0 μB/f.u.
data_MgGe2Bi2
_chemical_formula_sum 'Mg1 Ge2 Bi2'
_space_group_name_H-M_alt 'P 1'
_space_group_IT_number 1
_space_group_name_Hall 'P 1'
_cell_length_a 5.657
_cell_length_b 5.657
_cell_length_c 5.657
_cell_angle_alpha 118.89
_cell_angle_beta 118.89
_cell_angle_gamma 91.93
loop_
_atom_site_label
_atom_site_type_symbol
_atom_site_fract_x
_atom_site_fract_y
_atom_site_fract_z
_atom_site_occupancy
Mg1 Mg 0.000 0.000 0.000 1
Ge1 Ge 0.342 0.342 0.000 1
Ge2 Ge 0.658 0.658 0.000 1
Bi1 Bi 0.250 0.750 0.500 1
Bi2 Bi 0.750 0.250 0.500 1

# MgGeBi3 meta-GGA SCAN PBEsol geometry
# Energy of formation from the pure elements ... 0.610 eV/atom
# Symmetry ... Pm-3m (221)
# Size of the total moment ... 0.0 μB/f.u.
data_MgGeBi3
_chemical_formula_sum 'Mg1 Ge1 Bi3'
_space_group_name_H-M_alt 'P 1'
_space_group_IT_number 1
_space_group_name_Hall 'P 1'
_cell_length_a 5.476
_cell_length_b 5.476
_cell_length_c 5.476
_cell_angle_alpha 90.00
_cell_angle_beta 90.00
_cell_angle_gamma 90.00
loop_
_atom_site_label
_atom_site_type_symbol
_atom_site_fract_x
_atom_site_fract_y
_atom_site_fract_z
_atom_site_occupancy
Mg1 Mg 0.000 0.000 0.000 1
Ge1 Ge 0.500 0.500 0.500 1
Bi1 Bi 0.000 0.500 0.500 1
Bi2 Bi 0.500 0.000 0.500 1
Bi3 Bi 0.500 0.500 0.000 1